Density functional theory data (GGA+U) for an optimized crystal structure of KNiF5.

Cell: 5.7340 5.7340 7.8074 Å, 70.88 70.88 71.34°
Atoms (fractional coordinates):
K: 0.5263 0.4737 0.7500
K: 0.4737 0.5263 0.2500
Ni: 0.0000 0.0000 0.0000
Ni: 0.0000 0.0000 0.5000
F: 0.2987 0.0763 0.8901
F: 0.3292 0.8450 0.4914
F: 0.0763 0.2987 0.3901
F: 0.9321 0.0679 0.7500
F: 0.1550 0.6708 0.0086
F: 0.8450 0.3292 0.9914
F: 0.0679 0.9321 0.2500
F: 0.9237 0.7013 0.6099
F: 0.6708 0.1550 0.5086
F: 0.7013 0.9237 0.1099

Calculated values
**Final energy**: -3.628 eV/atom
**Space group**: C2/c (15)
**Total magnetization**: 0.288 μB/atom